Compound: K3Na2CoF9
Source: the Alexandria database
Functional: PBE with a Hubbard U
Structure: relaxed

Unit cell a=5.9464 b=5.9464 c=7.3936 alpha=90.00 beta=90.00 gamma=120.00
Space group P-3m1 (No. 164)
One atom of each set of equivalent atoms:
1 K 0.0000 0.0000 0.0000 [1 per cell]
2 K 0.3333 0.6667 0.7077 [2 per cell]
3 Na 0.3333 0.6667 0.1870 [2 per cell]
4 Co 0.0000 0.0000 0.5000 [1 per cell]
5 F 0.0000 0.5000 0.0000 [3 per cell]
6 F 0.1460 0.2919 0.3571 [6 per cell]

Summary:
- total energy (eV for the cell shown) = -63.913